Record 1
LaTiV | PBE | optimized geometry

Cell lengths 3.833, 3.375, 10.492 Å; angles 90.00, 90.00, 90.00 degrees
Positions (direct):
1 La 0.250 0.000 0.133
2 La 0.750 0.000 0.867
3 Ti 0.250 0.500 0.635
4 Ti 0.750 0.500 0.365
5 V 0.250 0.000 0.423
6 V 0.750 0.000 0.577

energy relative to the elements: 0.24 eV per atom
size of the total moment: 0.0 μB per formula unit
energy relative to the lowest polymorph listed for this composition: 60 meV per atom

Record 2
LaTi3W | PBE | optimized geometry

Cell lengths 4.690, 4.690, 4.690 Å; angles 90.00, 90.00, 90.00 degrees
Positions (direct):
1 La 0.000 0.000 0.000
2 Ti 0.000 0.000 0.500
3 Ti 0.000 0.500 0.000
4 Ti 0.500 0.000 0.000
5 W 0.500 0.500 0.500

energy relative to the elements: 1.74 eV per atom
size of the total moment: 0.0 μB per formula unit
energy relative to the lowest polymorph listed for this composition: 1202 meV per atom